This record from Alexandria describes LiAcGdY after structural relaxation. The functional is PBE.

Cell lengths 5.7239, 5.7239, 5.7239 Å; angles 60.00, 60.00, 60.00 degrees
Last column: nearest neighbours and their distance in Å.
Positions (direct):
Y 0.5000 0.5000 0.5000  4 Ac 3.51, 4 Li 3.51
Ac 0.2500 0.2500 0.2500  4 Gd 3.51, 4 Y 3.51
Gd 0.0000 0.0000 0.0000  4 Ac 3.51, 4 Li 3.51
Li 0.7500 0.7500 0.7500  4 Gd 3.51, 4 Y 3.51

Output
- Total magnetic moment: 7.5 Bohr magnetons per cell
- D(E_F): 1.478 states/eV/atom
- Calculated total energy: -6.40 eV per atom